Record 1
# TaRuI2O (GGA-PBEsol, relaxed)
data_TaRuI2O
_chemical_formula_sum 'Ta1 Ru1 I2 O1'
_space_group_name_H-M_alt 'P 4/m m m'
_space_group_IT_number 123
_space_group_name_Hall '-P 4 2'
_cell_length_a 5.480
_cell_length_b 5.480
_cell_length_c 3.790
_cell_angle_alpha 90.00
_cell_angle_beta 90.00
_cell_angle_gamma 90.00
loop_
_atom_site_label
_atom_site_fract_x
_atom_site_fract_y
_atom_site_fract_z
_atom_site_occupancy
Ta1 0.000 0.000 0.000 1
Ru1 0.500 0.500 0.500 1
I1 0.000 0.500 0.000 1
O1 0.000 0.000 0.500 1
# DOS(E_F), states/eV/f.u.: 7.46
# Formation energy without anion corrections, eV/atom: 0.274

Record 2
# TlAuSCl2 (GGA-PBEsol, relaxed)
data_TlAuSCl2
_chemical_formula_sum 'Tl1 Au1 S1 Cl2'
_space_group_name_H-M_alt 'P 4/m m m'
_space_group_IT_number 123
_space_group_name_Hall '-P 4 2'
_cell_length_a 4.992
_cell_length_b 4.992
_cell_length_c 4.797
_cell_angle_alpha 90.00
_cell_angle_beta 90.00
_cell_angle_gamma 90.00
loop_
_atom_site_label
_atom_site_fract_x
_atom_site_fract_y
_atom_site_fract_z
_atom_site_occupancy
Tl1 0.000 0.000 0.000 1
Au1 0.500 0.500 0.500 1
S1 0.500 0.500 0.000 1
Cl1 0.000 0.500 0.500 1
# DOS(E_F), states/eV/f.u.: 4.19
# Formation energy without anion corrections, eV/atom: -0.184

Record 3
# ScPtIN2 (GGA-PBEsol, relaxed)
data_ScPtIN2
_chemical_formula_sum 'Sc1 Pt1 I1 N2'
_space_group_name_H-M_alt 'P 4/m m m'
_space_group_IT_number 123
_space_group_name_Hall '-P 4 2'
_cell_length_a 3.982
_cell_length_b 3.982
_cell_length_c 6.061
_cell_angle_alpha 90.00
_cell_angle_beta 90.00
_cell_angle_gamma 90.00
loop_
_atom_site_label
_atom_site_fract_x
_atom_site_fract_y
_atom_site_fract_z
_atom_site_occupancy
Sc1 0.000 0.000 0.000 1
Pt1 0.500 0.500 0.500 1
I1 0.000 0.000 0.500 1
N1 0.000 0.500 0.000 1
# DOS(E_F), states/eV/f.u.: 4.30
# Formation energy without anion corrections, eV/atom: 0.927

Record 4
# U2CuP2H24O24 (GGA-PBEsol, relaxed)
data_U2CuP2H24O24
_chemical_formula_sum 'U4 Cu2 P4 H48 O48'
_space_group_name_H-M_alt 'P 4/n n c'
_space_group_IT_number 126
_cell_length_a 6.933
_cell_length_b 6.933
_cell_length_c 20.398
_cell_angle_alpha 90.00
_cell_angle_beta 90.00
_cell_angle_gamma 90.00
loop_
_space_group_symop_operation_xyz
'x,y,z'
'-x,-y,-z'
'-y+1/2,x,z'
'y+1/2,-x,-z'
'-x+1/2,-y+1/2,z'
'x+1/2,y+1/2,-z'
'y,-x+1/2,z'
'-y,x+1/2,-z'
'x,-y+1/2,-z+1/2'
'-x,y+1/2,z+1/2'
'-y+1/2,-x+1/2,-z+1/2'
'y+1/2,x+1/2,z+1/2'
'-x+1/2,y,-z+1/2'
'x+1/2,-y,z+1/2'
'y,x,-z+1/2'
'-y,-x,z+1/2'
loop_
_atom_site_label
_atom_site_fract_x
_atom_site_fract_y
_atom_site_fract_z
_atom_site_occupancy
U1 0.250 0.250 0.043 1
Cu1 0.250 0.250 0.250 1
P1 0.250 0.750 0.000 1
H1 0.074 0.644 0.121 1
H2 0.088 0.113 0.837 1
H3 0.098 0.660 0.720 1
O1 0.009 0.670 0.164 1
O2 0.026 0.750 0.750 1
O3 0.077 0.702 0.545 1
O4 0.250 0.250 0.131 1
O5 0.250 0.250 0.546 1
# E_tot, eV/atom: -6.14

Record 5
# CaMnH2 (GGA-PBEsol, relaxed)
data_CaMnH2
_chemical_formula_sum 'Ca4 Mn4 H8'
_space_group_name_H-M_alt 'I -4 2 d'
_space_group_IT_number 122
_space_group_name_Hall 'I -4 2bw'
_cell_length_a 5.055
_cell_length_b 5.055
_cell_length_c 7.037
_cell_angle_alpha 90.00
_cell_angle_beta 90.00
_cell_angle_gamma 90.00
loop_
_atom_site_label
_atom_site_fract_x
_atom_site_fract_y
_atom_site_fract_z
_atom_site_occupancy
Ca1 0.000 0.000 0.000 1
Mn1 0.000 0.000 0.500 1
H1 0.156 0.750 0.625 1
# DOS(E_F), states/eV/f.u.: 2.18
# E_tot, eV/atom: -4.67

Record 6
# MoC3S2Cl7O (GGA-PBEsol, relaxed)
data_MoC3S2Cl7O
_chemical_formula_sum 'Mo2 C6 S4 Cl14 O2'
_space_group_name_H-M_alt 'P 1 c 1'
_space_group_IT_number 7
_cell_length_a 8.090
_cell_length_b 9.943
_cell_length_c 8.642
_cell_angle_alpha 90.00
_cell_angle_beta 108.82
_cell_angle_gamma 90.00
loop_
_space_group_symop_operation_xyz
'x,y,z'
'x,-y,z+1/2'
loop_
_atom_site_label
_atom_site_fract_x
_atom_site_fract_y
_atom_site_fract_z
_atom_site_occupancy
Mo1 0.000 0.228 0.000 1
C1 0.367 0.309 0.624 1
C2 0.510 0.337 0.572 1
C3 0.584 0.224 0.524 1
S1 0.307 0.145 0.626 1
S2 0.496 0.071 0.541 1
Cl1 0.029 0.320 0.256 1
Cl2 0.251 0.426 0.682 1
Cl3 0.298 0.172 0.114 1
Cl4 0.587 0.494 0.566 1
Cl5 0.709 0.190 0.977 1
Cl6 0.747 0.230 0.446 1
Cl7 0.980 0.042 0.831 1
O1 0.994 0.360 0.881 1
# Formation energy without anion corrections, eV/atom: -0.442

Record 7
# SrGa3Os (GGA-PBEsol, relaxed)
data_SrGa3Os
_chemical_formula_sum 'Sr1 Ga3 Os1'
_space_group_name_H-M_alt 'P m -3 m'
_space_group_IT_number 221
_space_group_name_Hall '-P 4 2 3'
_cell_length_a 4.779
_cell_length_b 4.779
_cell_length_c 4.779
_cell_angle_alpha 90.00
_cell_angle_beta 90.00
_cell_angle_gamma 90.00
loop_
_atom_site_label
_atom_site_fract_x
_atom_site_fract_y
_atom_site_fract_z
_atom_site_occupancy
Sr1 0.000 0.000 0.000 1
Ga1 0.000 0.500 0.500 1
Os1 0.500 0.500 0.500 1
# DOS(E_F), states/eV/f.u.: 2.81
# DFT formation energy, meV per atom: -296

Record 8
# Y2PtBr (GGA-PBEsol, relaxed)
data_Y2PtBr
_chemical_formula_sum 'Y4 Pt2 Br2'
_space_group_name_H-M_alt 'A m m 2'
_space_group_IT_number 38
_cell_length_a 4.422
_cell_length_b 3.636
_cell_length_c 11.244
_cell_angle_alpha 90.00
_cell_angle_beta 90.00
_cell_angle_gamma 90.00
loop_
_space_group_symop_operation_xyz
'x,y,z'
'-x,-y,z'
'-x,y,z'
'x,-y,z'
'x,y+1/2,z+1/2'
'-x,-y+1/2,z+1/2'
'-x,y+1/2,z+1/2'
'x,-y+1/2,z+1/2'
loop_
_atom_site_label
_atom_site_fract_x
_atom_site_fract_y
_atom_site_fract_z
_atom_site_occupancy
Y1 0.000 0.000 0.000 1
Y2 0.500 0.000 0.252 1
Pt1 0.000 0.000 0.737 1
Br1 0.500 0.000 0.508 1
# DOS(E_F), states/eV/f.u.: 2.90
# Formation energy without anion corrections, eV/atom: -0.996

Record 9
# Be2SiNi (GGA-PBEsol, relaxed)
data_Be2SiNi
_chemical_formula_sum 'Be2 Si1 Ni1'
_space_group_name_H-M_alt 'P 4/m m m'
_space_group_IT_number 123
_space_group_name_Hall '-P 4 2'
_cell_length_a 3.371
_cell_length_b 3.371
_cell_length_c 3.362
_cell_angle_alpha 90.00
_cell_angle_beta 90.00
_cell_angle_gamma 90.00
loop_
_atom_site_label
_atom_site_fract_x
_atom_site_fract_y
_atom_site_fract_z
_atom_site_occupancy
Be1 0.000 0.500 0.000 1
Si1 0.000 0.000 0.500 1
Ni1 0.500 0.500 0.500 1
# DOS(E_F), states/eV/f.u.: 1.02
# Formation energy without anion corrections, eV/atom: -0.272

Record 10
# TeMo2AuI (GGA-PBEsol, relaxed)
data_TeMo2AuI
_chemical_formula_sum 'Te1 Mo2 Au1 I1'
_space_group_name_H-M_alt 'P 4/m m m'
_space_group_IT_number 123
_space_group_name_Hall '-P 4 2'
_cell_length_a 5.182
_cell_length_b 5.182
_cell_length_c 5.115
_cell_angle_alpha 90.00
_cell_angle_beta 90.00
_cell_angle_gamma 90.00
loop_
_atom_site_label
_atom_site_fract_x
_atom_site_fract_y
_atom_site_fract_z
_atom_site_occupancy
Te1 0.000 0.000 0.000 1
Mo1 0.000 0.500 0.000 1
Au1 0.000 0.000 0.500 1
I1 0.500 0.500 0.500 1
# DOS(E_F), states/eV/f.u.: 5.42
# Formation energy without anion corrections, eV/atom: 1.642

Record 11
# KGaGe (GGA-PBEsol, relaxed)
data_KGaGe
_chemical_formula_sum 'K2 Ga2 Ge2'
_space_group_name_H-M_alt 'P 63/m m c'
_space_group_IT_number 194
_space_group_name_Hall '-P 6c 2c'
_cell_length_a 4.2099
_cell_length_b 4.2099
_cell_length_c 10.7000
_cell_angle_alpha 90.00
_cell_angle_beta 90.00
_cell_angle_gamma 120.00
loop_
_atom_site_label
_atom_site_fract_x
_atom_site_fract_y
_atom_site_fract_z
_atom_site_occupancy
K1 0.0000 0.0000 0.0000 1
Ga1 0.3333 0.6667 0.2500 1
Ge1 0.3333 0.6667 0.7500 1
# DOS(E_F), states/eV/f.u.: 0.03
# DFT formation energy, meV per atom: -211

Record 12
# PrTa3O9 (GGA-PBEsol, relaxed)
data_PrTa3O9
_chemical_formula_sum 'Pr2 Ta6 O18'
_space_group_name_H-M_alt 'P 1 21/m 1'
_space_group_IT_number 11
_cell_length_a 5.411
_cell_length_b 7.559
_cell_length_c 8.211
_cell_angle_alpha 90.00
_cell_angle_beta 92.46
_cell_angle_gamma 90.00
loop_
_space_group_symop_operation_xyz
'x,y,z'
'-x,-y,-z'
'-x,y+1/2,-z'
'x,-y+1/2,z'
loop_
_atom_site_label
_atom_site_fract_x
_atom_site_fract_y
_atom_site_fract_z
_atom_site_occupancy
Pr1 0.034 0.250 0.434 1
Ta1 0.000 0.000 0.000 1
Ta2 0.472 0.007 0.698 1
O1 0.084 0.250 0.983 1
O2 0.154 0.556 0.787 1
O3 0.266 0.538 0.467 1
O4 0.318 0.547 0.122 1
O5 0.353 0.250 0.661 1
O6 0.443 0.250 0.313 1
# DOS(E_F), states/eV/f.u.: 0.00
# Formation energy without anion corrections, eV/atom: -3.034

Spin magnetization per entry: 2.7 0.1 1.4 1.0 3.0 1.0 0.0 0.0 0.0 6.4 0.0 0.0 μB per formula unit